Entry 1:
Crystalline ThSc2As4 at its relaxed geometry. Source: Alexandria via LeMat-Bulk, functional GGA-PBE.

Properties
Symmetry: Cmcm, No. 63
Formation energy from the elements, eV per atom: -1.016

a = 5.5845 Å, b = 5.5845 Å, c = 15.0733 Å
α = 90.00°, β = 90.00°, γ = 137.84°
Last column: nearest neighbours and their distance in Å.
Positions (direct):
Th1 0.0904 0.9096 0.7500  7 As 2.98-3.04
Th2 0.9096 0.0904 0.2500  7 As 2.98-3.04
Sc1 0.3584 0.6416 0.5744  6 As 2.66-2.84
Sc2 0.3584 0.6416 0.9256  6 As 2.66-2.84
Sc3 0.6416 0.3584 0.0744  6 As 2.66-2.84
Sc4 0.6416 0.3584 0.4256  6 As 2.66-2.84
As1 0.0000 0.0000 0.0000  4 Sc 2.73
As2 0.0000 0.0000 0.5000  4 Sc 2.73
As3 0.3273 0.6727 0.1101  3 Sc 2.80-2.84, 2 Th 3.04
As4 0.3273 0.6727 0.3899  3 Sc 2.80-2.84, 2 Th 3.04
As5 0.3789 0.6211 0.7500  2 Sc 2.66
As6 0.6211 0.3789 0.2500  2 Sc 2.66
As7 0.6727 0.3273 0.6101  3 Sc 2.80-2.84, 2 Th 3.04
As8 0.6727 0.3273 0.8899  3 Sc 2.80-2.84, 2 Th 3.04

---

Entry 2:
Crystalline SmSnI5 at its relaxed geometry. Source: Alexandria via LeMat-Bulk, functional GGA-PBE.

Properties
Raw formation energy, meV/atom: -986.8
Symmetry: P2_1/m, No. 11

a = 9.2218 Å, b = 4.5185 Å, c = 15.1222 Å
α = 90.00°, β = 94.51°, γ = 90.00°
Last column: nearest neighbours and their distance in Å.
Positions (direct):
Sm1 0.0917 0.2500 0.1504  7 I 3.06-3.39
Sm2 0.9083 0.7500 0.8496  7 I 3.06-3.39
Sn1 0.4015 0.7500 0.3680  5 I 3.12-3.26
Sn2 0.5985 0.2500 0.6320  5 I 3.12-3.26
I1 0.1155 0.2500 0.7943  2 Sm 3.12
I2 0.1470 0.2500 0.3652  1 Sm 3.25, 2 Sn 3.26
I3 0.1796 0.7500 0.0141  3 Sm 3.21-3.39
I4 0.3570 0.7500 0.5703  3 Sn 3.12-3.26
I5 0.4234 0.2500 0.1860  1 Sm 3.06
I6 0.5766 0.7500 0.8140  1 Sm 3.06
I7 0.6430 0.2500 0.4297  3 Sn 3.12-3.26
I8 0.8204 0.2500 0.9859  3 Sm 3.21-3.39
I9 0.8530 0.7500 0.6348  1 Sm 3.25, 2 Sn 3.26
I10 0.8845 0.7500 0.2057  2 Sm 3.12

---

Entry 3:
Crystalline SrPmCd6 at its relaxed geometry. Source: Alexandria via LeMat-Bulk, functional GGA-PBE.

Properties
Symmetry: Pmm2, No. 25
Formation energy from the elements, eV per atom: -0.273

a = 5.1915 Å, b = 7.4418 Å, c = 5.1891 Å
α = 90.00°, β = 90.00°, γ = 90.00°
Last column: nearest neighbours and their distance in Å.
Positions (direct):
Sr1 0.0000 0.0000 0.0000  8 Cd 3.22
Pm1 0.5000 0.5000 0.5011  8 Cd 3.17
Cd1 0.0000 0.2565 0.5000  4 Cd 3.16-3.22, 2 Pm 3.17, 2 Sr 3.22
Cd2 0.0000 0.5000 0.0002  8 Cd 3.16-3.17
Cd3 0.0000 0.7435 0.5000  4 Cd 3.16-3.22, 2 Pm 3.17, 2 Sr 3.22
Cd4 0.5000 0.0000 0.5004  8 Cd 3.22
Cd5 0.5000 0.2561 0.0011  2 Pm 3.17, 4 Cd 3.17-3.22, 2 Sr 3.22
Cd6 0.5000 0.7439 0.0011  2 Pm 3.17, 4 Cd 3.17-3.22, 2 Sr 3.22

---

Entry 4:
Crystalline NaGaCuAu3 at its relaxed geometry. Source: Alexandria via LeMat-Bulk, functional GGA-PBE.

Properties
Symmetry: Cmcm, No. 63
Formation energy from the elements, eV per atom: -0.101

a = 6.9255 Å, b = 6.9255 Å, c = 5.8638 Å
α = 90.00°, β = 90.00°, γ = 118.68°
Last column: nearest neighbours and their distance in Å.
Positions (direct):
Na1 0.2025 0.7975 0.7500  1 Cu 2.80, 2 Ga 3.05
Na2 0.7975 0.2025 0.2500  1 Cu 2.80, 2 Ga 3.05
Ga1 0.1317 0.8683 0.2500  5 Au 2.49-2.63
Ga2 0.8683 0.1317 0.7500  5 Au 2.49-2.63
Cu1 0.4373 0.5627 0.7500  5 Au 2.60-2.64, 1 Na 2.80
Cu2 0.5627 0.4373 0.2500  5 Au 2.60-2.64, 1 Na 2.80
Au1 0.2156 0.2156 0.0000  2 Cu 2.60, 2 Ga 2.63
Au2 0.2156 0.2156 0.5000  2 Cu 2.60, 2 Ga 2.63
Au3 0.3409 0.6591 0.2500  1 Ga 2.49, 1 Cu 2.64
Au4 0.6591 0.3409 0.7500  1 Ga 2.49, 1 Cu 2.64
Au5 0.7844 0.7844 0.0000  2 Cu 2.60, 2 Ga 2.63
Au6 0.7844 0.7844 0.5000  2 Cu 2.60, 2 Ga 2.63